# 1
## K3Mg2NbO6 (PBE-GGA)

Data for crystalline K3Mg2NbO6 at its relaxed geometry.

Computed properties:
* uncorrected energy: -6.0687 eV per atom

Cell: 5.517 9.564 6.393 Å, 90.00 106.63 90.00°
Space group C2/m (No. 12)
Inequivalent atoms, fractional coordinates:
K1 0.000 0.000 0.000
K2 0.000 0.328 0.000
Mg1 0.000 0.167 0.500
Nb1 0.000 0.500 0.500
O1 0.217 0.343 0.678
O2 0.246 0.000 0.680

# 2
## KMg2NbRu (PBE-GGA)

Data for crystalline KMg2NbRu at its relaxed geometry.

Computed properties:
* uncorrected energy: -2.4454 eV per atom
* formation energy from the elements: 2.28 eV per atom

Cell: 4.764 4.764 4.759 Å, 90.00 90.00 90.00°
Space group P4/mmm (No. 123)
Inequivalent atoms, fractional coordinates:
K1 0.000 0.000 0.000
Mg1 0.000 0.500 0.000
Nb1 0.000 0.000 0.500
Ru1 0.500 0.500 0.500

# 3
## KMgNbRu2 (PBE-GGA)

Data for crystalline KMgNbRu2 at its relaxed geometry.

Computed properties:
* uncorrected energy: -3.7693 eV per atom
* formation energy from the elements: 2.49 eV per atom

Cell: 4.641 4.641 4.588 Å, 90.00 90.00 90.00°
Space group P4/mmm (No. 123)
Inequivalent atoms, fractional coordinates:
K1 0.000 0.000 0.000
Mg1 0.500 0.500 0.500
Nb1 0.000 0.000 0.500
Ru1 0.000 0.500 0.000

# 4
## K2MgNbS4 (PBE-GGA)

Data for crystalline K2MgNbS4 at its relaxed geometry.

Computed properties:
* uncorrected energy: -4.9075 eV per atom

Cell: 7.129 7.129 9.183 Å, 90.00 90.00 90.00°
Space group I-4 (No. 82)
Inequivalent atoms, fractional coordinates:
K1 0.000 0.000 0.000
K2 0.000 0.500 0.250
Mg1 0.000 0.500 0.750
Nb1 0.000 0.000 0.500
S1 0.160 0.767 0.633

# 5
## KSrMgNb2 (PBE-GGA)

Data for crystalline KSrMgNb2 at its relaxed geometry.

Computed properties:
* uncorrected energy: -2.8621 eV per atom
* formation energy from the elements: 2.04 eV per atom

Cell: 5.247 5.247 6.054 Å, 90.00 90.00 90.00°
Space group P4/mmm (No. 123)
Inequivalent atoms, fractional coordinates:
K1 0.000 0.000 0.000
Sr1 0.500 0.500 0.500
Mg1 0.500 0.500 0.000
Nb1 0.000 0.500 0.500

# 6
## KSrMg2Nb (PBE-GGA)

Data for crystalline KSrMg2Nb at its relaxed geometry.

Computed properties:
* uncorrected energy: -1.6080 eV per atom
* formation energy from the elements: 1.60 eV per atom

Cell: 5.463 5.463 5.795 Å, 90.00 90.00 90.00°
Space group P4/mmm (No. 123)
Inequivalent atoms, fractional coordinates:
K1 0.000 0.000 0.000
Sr1 0.000 0.000 0.500
Mg1 0.000 0.500 0.000
Nb1 0.500 0.500 0.500

# 7
## KMgZr2Nb (PBE-GGA)

Data for crystalline KMgZr2Nb at its relaxed geometry.

Computed properties:
* uncorrected energy: -4.4439 eV per atom
* formation energy from the elements: 1.53 eV per atom

Cell: 5.335 5.335 5.103 Å, 90.00 90.00 90.00°
Space group P4/mmm (No. 123)
Inequivalent atoms, fractional coordinates:
K1 0.000 0.000 0.000
Mg1 0.500 0.500 0.500
Zr1 0.000 0.500 0.500
Nb1 0.500 0.500 0.000

# 8
## KNd2Mg (PBE-GGA)

Data for crystalline KNd2Mg at its relaxed geometry.

Computed properties:
* uncorrected energy: -2.8297 eV per atom
* formation energy from the elements: 0.23 eV per atom

Cell: 3.6303 3.6303 39.3882 Å, 90.00 90.00 120.00°
Space group R-3m (No. 166, hexagonal axes)
Inequivalent atoms, fractional coordinates:
K1 0.0000 0.0000 0.0000
Nd1 0.0000 0.0000 0.0997
Mg1 0.0000 0.0000 0.5000

no.,magnetization (μB per atom)
1,0.000
2,0.280
3,0.000
4,0.126
5,0.402
6,0.593
7,0.507
8,0.000